# 1
# LaCrAg2 | the Alexandria database | PBE | relaxed
data_LaCrAg2
_chemical_formula_sum 'La1 Cr1 Ag2'
_space_group_name_H-M_alt 'P 4/m m m'
_space_group_IT_number 123
_space_group_name_Hall '-P 4 2'
_cell_length_a 4.683
_cell_length_b 4.683
_cell_length_c 4.121
_cell_angle_alpha 90.00
_cell_angle_beta 90.00
_cell_angle_gamma 90.00
loop_
_atom_site_label
_atom_site_fract_x
_atom_site_fract_y
_atom_site_fract_z
La1 0.000 0.000 0.000
Cr1 0.500 0.500 0.000
Ag1 0.000 0.500 0.500
# V (Å³/atom): 22.6
# Formation enthalpy at 0 K (eV/atom): 0.253
# Crystal system: tetragonal
# N(E_F) (states/eV per atom): 0.662
# Excess energy over the best structure of this formula in the dataset (eV/atom): 0.130

=====

# 2
# La2CrAg | the Alexandria database | PBE | relaxed
data_La2CrAg
_chemical_formula_sum 'La4 Cr2 Ag2'
_space_group_name_H-M_alt 'I -4 m 2'
_space_group_IT_number 119
_space_group_name_Hall 'I -4 -2'
_cell_length_a 4.585
_cell_length_b 4.585
_cell_length_c 9.945
_cell_angle_alpha 90.00
_cell_angle_beta 90.00
_cell_angle_gamma 90.00
loop_
_atom_site_label
_atom_site_fract_x
_atom_site_fract_y
_atom_site_fract_z
La1 0.000 0.000 0.000
La2 0.000 0.500 0.250
Cr1 0.000 0.000 0.500
Ag1 0.000 0.500 0.750
# V (Å³/atom): 26.1
# Formation enthalpy at 0 K (eV/atom): 0.232
# Crystal system: tetragonal
# N(E_F) (states/eV per atom): 1.211
# Excess energy over the best structure of this formula in the dataset (eV/atom): 0.127

=====

# 3
# La2CrAg | the Alexandria database | PBE | relaxed
data_La2CrAg
_chemical_formula_sum 'La2 Cr1 Ag1'
_space_group_name_H-M_alt 'P 4 m m'
_space_group_IT_number 99
_space_group_name_Hall 'P 4 -2'
_cell_length_a 3.754
_cell_length_b 3.754
_cell_length_c 7.660
_cell_angle_alpha 90.00
_cell_angle_beta 90.00
_cell_angle_gamma 90.00
loop_
_atom_site_label
_atom_site_fract_x
_atom_site_fract_y
_atom_site_fract_z
La1 0.000 0.000 0.000
La2 0.500 0.500 0.334
Cr1 0.500 0.500 0.753
Ag1 0.000 0.000 0.582
# V (Å³/atom): 27.0
# Formation enthalpy at 0 K (eV/atom): 0.228
# Crystal system: tetragonal
# N(E_F) (states/eV per atom): 0.982
# Excess energy over the best structure of this formula in the dataset (eV/atom): 0.123

=====

# 4
# LaCrAg2 | the Alexandria database | PBE | relaxed
data_LaCrAg2
_chemical_formula_sum 'La1 Cr1 Ag2'
_space_group_name_H-M_alt 'P 1 m 1'
_space_group_IT_number 6
_space_group_name_Hall 'P -2y'
_cell_length_a 3.398
_cell_length_b 4.612
_cell_length_c 5.989
_cell_angle_alpha 90.00
_cell_angle_beta 106.42
_cell_angle_gamma 90.00
loop_
_atom_site_label
_atom_site_fract_x
_atom_site_fract_y
_atom_site_fract_z
La1 0.000 0.000 0.000
Cr1 0.385 0.500 0.770
Ag1 0.263 0.000 0.522
Ag2 0.669 0.500 0.336
# V (Å³/atom): 22.5
# Formation enthalpy at 0 K (eV/atom): 0.269
# Crystal system: monoclinic
# N(E_F) (states/eV per atom): 0.612
# Excess energy over the best structure of this formula in the dataset (eV/atom): 0.146

=====

# 5
# La2CrAg | the Alexandria database | PBE | relaxed
data_La2CrAg
_chemical_formula_sum 'La2 Cr1 Ag1'
_space_group_name_H-M_alt 'P m m 2'
_space_group_IT_number 25
_space_group_name_Hall 'P 2 -2'
_cell_length_a 3.762
_cell_length_b 5.376
_cell_length_c 5.376
_cell_angle_alpha 90.00
_cell_angle_beta 90.00
_cell_angle_gamma 90.00
loop_
_atom_site_label
_atom_site_fract_x
_atom_site_fract_y
_atom_site_fract_z
La1 0.000 0.000 0.000
La2 0.000 0.500 0.495
Cr1 0.500 0.000 0.502
Ag1 0.500 0.500 0.993
# V (Å³/atom): 27.2
# Formation enthalpy at 0 K (eV/atom): 0.112
# Crystal system: orthorhombic
# N(E_F) (states/eV per atom): 0.890
# Excess energy over the best structure of this formula in the dataset (eV/atom): 0.007

=====

# 6
# LaCrAg2 | the Alexandria database | PBE | relaxed
data_LaCrAg2
_chemical_formula_sum 'La3 Cr3 Ag6'
_space_group_name_H-M_alt 'R 3 m'
_space_group_IT_number 160
_space_group_name_Hall 'R 3 -2"'
_cell_length_a 3.2095
_cell_length_b 3.2095
_cell_length_c 29.5776
_cell_angle_alpha 90.00
_cell_angle_beta 90.00
_cell_angle_gamma 120.00
loop_
_atom_site_label
_atom_site_fract_x
_atom_site_fract_y
_atom_site_fract_z
La1 0.0000 0.0000 0.0000
Cr1 0.0000 0.0000 0.2427
Ag1 0.0000 0.0000 0.5025
Ag2 0.0000 0.0000 0.7600
# V (Å³/atom): 22.0
# Formation enthalpy at 0 K (eV/atom): 0.463
# Crystal system: trigonal
# N(E_F) (states/eV per atom): 0.701
# Excess energy over the best structure of this formula in the dataset (eV/atom): 0.340

=====

# 7
# LaCrAg2 | the Alexandria database | PBE | relaxed
data_LaCrAg2
_chemical_formula_sum 'La2 Cr2 Ag4'
_space_group_name_H-M_alt 'C 1 2/m 1'
_space_group_IT_number 12
_space_group_name_Hall '-C 2y'
_cell_length_a 8.269
_cell_length_b 4.779
_cell_length_c 5.516
_cell_angle_alpha 90.00
_cell_angle_beta 120.05
_cell_angle_gamma 90.00
loop_
_atom_site_label
_atom_site_fract_x
_atom_site_fract_y
_atom_site_fract_z
La1 0.000 0.000 0.000
Cr1 0.000 0.500 0.500
Ag1 0.216 0.000 0.648
# V (Å³/atom): 23.6
# Formation enthalpy at 0 K (eV/atom): 0.123
# Crystal system: monoclinic
# N(E_F) (states/eV per atom): 0.838
# Excess energy over the best structure of this formula in the dataset (eV/atom): 0.000

=====

# 8
# LaCrAg2 | the Alexandria database | PBE | relaxed
data_LaCrAg2
_chemical_formula_sum 'La2 Cr2 Ag4'
_space_group_name_H-M_alt 'C 1 m 1'
_space_group_IT_number 8
_space_group_name_Hall 'C -2y'
_cell_length_a 8.181
_cell_length_b 4.691
_cell_length_c 5.582
_cell_angle_alpha 90.00
_cell_angle_beta 118.82
_cell_angle_gamma 90.00
loop_
_atom_site_label
_atom_site_fract_x
_atom_site_fract_y
_atom_site_fract_z
La1 0.000 0.000 0.000
Cr1 0.211 0.000 0.633
Ag1 0.016 0.500 0.548
Ag2 0.287 0.500 0.362
# V (Å³/atom): 23.5
# Formation enthalpy at 0 K (eV/atom): 0.163
# Crystal system: monoclinic
# N(E_F) (states/eV per atom): 0.743
# Excess energy over the best structure of this formula in the dataset (eV/atom): 0.040

=====

# 9
# LaCrAg2 | the Alexandria database | PBE | relaxed
data_LaCrAg2
_chemical_formula_sum 'La1 Cr1 Ag2'
_space_group_name_H-M_alt 'P m m m'
_space_group_IT_number 47
_space_group_name_Hall '-P 2 2'
_cell_length_a 3.319
_cell_length_b 3.823
_cell_length_c 7.049
_cell_angle_alpha 90.00
_cell_angle_beta 90.00
_cell_angle_gamma 90.00
loop_
_atom_site_label
_atom_site_fract_x
_atom_site_fract_y
_atom_site_fract_z
La1 0.000 0.000 0.000
Cr1 0.000 0.000 0.500
Ag1 0.500 0.500 0.297
# V (Å³/atom): 22.4
# Formation enthalpy at 0 K (eV/atom): 0.194
# Crystal system: orthorhombic
# N(E_F) (states/eV per atom): 0.910
# Excess energy over the best structure of this formula in the dataset (eV/atom): 0.071

=====

# 10
# La2CrAg | the Alexandria database | PBE | relaxed
data_La2CrAg
_chemical_formula_sum 'La8 Cr4 Ag4'
_space_group_name_H-M_alt 'F m -3 m'
_space_group_IT_number 225
_space_group_name_Hall '-F 4 2 3'
_cell_length_a 7.576
_cell_length_b 7.576
_cell_length_c 7.576
_cell_angle_alpha 90.00
_cell_angle_beta 90.00
_cell_angle_gamma 90.00
loop_
_atom_site_label
_atom_site_fract_x
_atom_site_fract_y
_atom_site_fract_z
La1 0.250 0.250 0.250
Cr1 0.000 0.000 0.000
Ag1 0.000 0.000 0.500
# V (Å³/atom): 27.2
# Formation enthalpy at 0 K (eV/atom): 0.129
# Crystal system: cubic
# N(E_F) (states/eV per atom): 1.021
# Excess energy over the best structure of this formula in the dataset (eV/atom): 0.023

=====

# 11
# La2CrAg | the Alexandria database | PBE | relaxed
data_La2CrAg
_chemical_formula_sum 'La8 Cr4 Ag4'
_space_group_name_H-M_alt 'F -4 3 m'
_space_group_IT_number 216
_space_group_name_Hall 'F -4 2 3'
_cell_length_a 7.339
_cell_length_b 7.339
_cell_length_c 7.339
_cell_angle_alpha 90.00
_cell_angle_beta 90.00
_cell_angle_gamma 90.00
loop_
_atom_site_label
_atom_site_fract_x
_atom_site_fract_y
_atom_site_fract_z
La1 0.000 0.000 0.000
La2 0.250 0.250 0.250
Cr1 0.000 0.000 0.500
Ag1 0.250 0.250 0.750
# V (Å³/atom): 24.7
# Formation enthalpy at 0 K (eV/atom): 0.191
# Crystal system: cubic
# N(E_F) (states/eV per atom): 0.639
# Excess energy over the best structure of this formula in the dataset (eV/atom): 0.086

=====

# 12
# LaCrAg2 | the Alexandria database | PBE | relaxed
data_LaCrAg2
_chemical_formula_sum 'La4 Cr4 Ag8'
_space_group_name_H-M_alt 'I -4 2 d'
_space_group_IT_number 122
_space_group_name_Hall 'I -4 2bw'
_cell_length_a 4.452
_cell_length_b 4.452
_cell_length_c 19.960
_cell_angle_alpha 90.00
_cell_angle_beta 90.00
_cell_angle_gamma 90.00
loop_
_atom_site_label
_atom_site_fract_x
_atom_site_fract_y
_atom_site_fract_z
La1 0.000 0.000 0.000
Cr1 0.000 0.000 0.500
Ag1 0.176 0.250 0.625
# V (Å³/atom): 24.7
# Formation enthalpy at 0 K (eV/atom): 0.425
# Crystal system: tetragonal
# N(E_F) (states/eV per atom): 0.550
# Excess energy over the best structure of this formula in the dataset (eV/atom): 0.302

=====

> The lowest excess energy over the best structure of this formula in the dataset belongs to which entry?

number 7